Record 1
MgIrPt2 | PBE | relaxed

Output
The calculation puts the theoretical density at 16.07 Mg/m³. For the calculated formation energy, the calculation gives -50 kJ/mol of formula units. Its total magnetization is 0.22 μB/atom. The uncorrected energy is -0.4236 Ry/atom.

Cell: 4.459 4.459 4.459 Å, 60.00 60.00 60.00°
Last column: magnetic moment on the atom in μB.
Element x y z (fractional)
Pt: 0.000 0.000 0.000  0.15
Mg: 0.250 0.250 0.250  0.00
Pt: 0.750 0.750 0.750  0.19
Ir: 0.500 0.500 0.500  0.55

---

Record 2
Li2MgZn2Ag2 | PBE | relaxed

Output
The calculation puts the theoretical density at 5.60 Mg/m³. For the calculated formation energy, the calculation gives -130 kJ/mol of formula units. Its total magnetization is 0.00 μB/atom. The uncorrected energy is -0.1577 Ry/atom.

Cell: 4.516 4.509 6.994 Å, 109.16 90.00 120.06°
Element x y z (fractional)
Mg: 0.000 0.000 0.000
Li: 0.145 0.291 0.437
Ag: 0.282 0.564 0.847
Zn: 0.569 0.139 0.706
Ag: 0.718 0.436 0.153
Zn: 0.431 0.861 0.294
Li: 0.855 0.709 0.563

---

Record 3
ZnPd6Pt2 | PBE | relaxed

Output
The calculation puts the theoretical density at 13.11 Mg/m³. For the calculated formation energy, the calculation gives -81 kJ/mol of formula units. Its total magnetization is 0.00 μB/atom. The value obtained for the offset from the most stable computed form is 0.0162 eV per atom. The uncorrected energy is -0.3703 Ry/atom.

Cell: 2.846 7.835 7.835 Å, 126.08 85.07 85.07°
Element x y z (fractional)
Pd: 0.173 0.498 0.832
Pd: 0.665 0.678 0.678
Pd: 0.827 0.168 0.502
Pt: 0.500 0.841 0.159
Pd: 0.173 0.832 0.498
Zn: 0.000 0.000 0.000
Pt: 0.500 0.159 0.841
Pd: 0.827 0.502 0.168
Pd: 0.335 0.322 0.322

---

Record 4
FeP2Se | PBE | relaxed

Output
The calculation puts the theoretical density at 5.21 Mg/m³. Its formation energy (no corrections) is 0.015 eV/atom. Its total magnetization is 0.00 μB/atom. The uncorrected energy is -0.4172 Ry/atom.

Cell: 3.591 4.553 4.553 Å, 57.33 90.00 90.00°
Element x y z (fractional)
Se: 0.500 0.250 0.250
P: 0.000 0.933 0.933
P: 0.000 0.567 0.567
Fe: 0.500 0.750 0.750

---

Question: Among the records above, which one has the highest uncorrected energy?
Answer: Li2MgZn2Ag2

---

What did the fourth record say?
FeP2Se | PBE | relaxed

Output
The calculation puts the theoretical density at 5.21 Mg/m³. Its formation energy (no corrections) is 0.015 eV/atom. Its total magnetization is 0.00 μB/atom. The uncorrected energy is -0.4172 Ry/atom.

Cell: 3.591 4.553 4.553 Å, 57.33 90.00 90.00°
Element x y z (fractional)
Se: 0.500 0.250 0.250
P: 0.000 0.933 0.933
P: 0.000 0.567 0.567
Fe: 0.500 0.750 0.750